Entry from Alexandria: a geometry-optimized AlPPd4 structure (PBE-GGA).

Its energy of formation is -0.2495 eV/atom. The calculation puts the density of states at the Fermi level at 0.402 states/eV per atom. For the mass density, the calculation gives 7.411 Mg/m³. Its offset from the most stable computed form is 39.03 kJ/mol of atoms.

The structure belongs to space group I4_1md (No. 109); the cell edges are 7.5445, 7.5445 and 7.6153 Å and the angles 90.00°, 90.00° and 90.00°. The inequivalent atoms are Al at (0.0000, 0.0000, 0.0000), P at (0.0000, 0.0000, 0.5075), Pd at (0.0000, 0.1857, 0.2672) and Pd at (0.0000, 0.1922, 0.7399).